# Co3Mo

A crystal of Co3Mo relaxed with PBEsol (meta-GGA SCAN, Alexandria).

Calculated values
Space group = C2/m (12)
Magnetization = 8.838 Bohr magnetons per cell
Crystal system = monoclinic
Total energy = -21.49 eV/atom

```
Co3Mo
1.0
8.333 0.000 0.000
0.000 2.550 0.000
-0.777 0.000 4.290
Co Mo
6 2
direct
0.000 0.000 0.000
0.243 0.500 0.234
0.257 0.000 0.766
0.500 0.500 0.000
0.743 0.000 0.234
0.757 0.500 0.766
0.000 0.500 0.500
0.500 0.000 0.500
```


# InSiTcF2

A crystal of InSiTcF2 relaxed with PBEsol (meta-GGA SCAN, Alexandria).

Calculated values
Space group = P4/mmm (123)
Magnetization = 1.310 Bohr magnetons per cell
ΔE_f (raw) = -0.7647 eV/atom
Crystal system = tetragonal
Total energy = -17.87 eV/atom

```
InSiTcF2
1.0
4.075 0.000 0.000
0.000 4.075 0.000
0.000 0.000 4.842
In Si Tc F
1 1 1 2
direct
0.000 0.000 0.000
0.500 0.500 0.000
0.500 0.500 0.500
0.000 0.500 0.500
0.500 0.000 0.500
```


# CdSb2Rh

A crystal of CdSb2Rh relaxed with PBEsol (meta-GGA SCAN, Alexandria).

Calculated values
Space group = Pm (6)
Magnetization = 0.000 Bohr magnetons per cell
ΔE_f (raw) = -0.0883 eV/atom
Crystal system = monoclinic
Total energy = -34.77 eV/atom

```
CdSb2Rh
1.0
4.200 0.000 0.000
0.000 3.295 0.000
-2.090 0.000 6.229
Cd Sb Rh
1 2 1
direct
0.000 0.000 0.000
0.390 0.500 0.779
0.711 0.000 0.428
0.177 0.500 0.359
```


# NiSb2TeIr

A crystal of NiSb2TeIr relaxed with PBEsol (meta-GGA SCAN, Alexandria).

Calculated values
Space group = P4/mmm (123)
Magnetization = 0.000 Bohr magnetons per cell
ΔE_f (raw) = 0.8789 eV/atom
Crystal system = tetragonal
Total energy = -38.93 eV/atom

```
NiSb2TeIr
1.0
4.719 0.000 0.000
0.000 4.719 0.000
0.000 0.000 4.886
Ni Sb Te Ir
1 2 1 1
direct
0.000 0.000 0.000
0.000 0.500 0.000
0.500 0.000 0.000
0.000 0.000 0.500
0.500 0.500 0.500
```


# CdMo6S8

A crystal of CdMo6S8 relaxed with PBEsol (meta-GGA SCAN, Alexandria).

Calculated values
Space group = R-3 (148)
Magnetization = 0.000 Bohr magnetons per cell
ΔE_f (raw) = -0.7444 eV/atom
Crystal system = trigonal
Total energy = -21.86 eV/atom

```
CdMo6S8
1.0
4.626 2.671 3.589
-4.626 2.671 3.589
0.000 -5.342 3.589
Cd Mo S
1 6 8
direct
0.000 0.000 0.000
0.218 0.411 0.554
0.411 0.554 0.218
0.446 0.782 0.589
0.554 0.218 0.411
0.589 0.446 0.782
0.782 0.589 0.446
0.131 0.733 0.378
0.227 0.227 0.227
0.267 0.622 0.869
0.378 0.131 0.733
0.622 0.869 0.267
0.733 0.378 0.131
0.773 0.773 0.773
0.869 0.267 0.622
```


# BaZr2Al

A crystal of BaZr2Al relaxed with PBEsol (meta-GGA SCAN, Alexandria).

Calculated values
Space group = P4mm (99)
Magnetization = 0.001 Bohr magnetons per cell
Crystal system = tetragonal
Total energy = -27.06 eV/atom

```
BaZr2Al
1.0
3.629 0.000 0.000
0.000 3.629 0.000
0.000 0.000 8.178
Ba Zr Al
1 2 1
direct
0.000 0.000 0.000
0.000 0.000 0.549
0.500 0.500 0.350
0.500 0.500 0.705
```


# YSc3Ta

A crystal of YSc3Ta relaxed with PBEsol (meta-GGA SCAN, Alexandria).

Calculated values
Space group = Pm-3m (221)
Magnetization = 0.001 Bohr magnetons per cell
Crystal system = cubic
Total energy = -25.88 eV/atom

```
YSc3Ta
1.0
4.888 0.000 0.000
0.000 4.888 0.000
0.000 0.000 4.888
Y Sc Ta
1 3 1
direct
0.000 0.000 0.000
0.000 0.000 0.500
0.000 0.500 0.000
0.500 0.000 0.000
0.500 0.500 0.500
```


# Ba2CaI6

A crystal of Ba2CaI6 relaxed with PBEsol (meta-GGA SCAN, Alexandria).

Calculated values
Space group = P321 (150)
Magnetization = 0.000 Bohr magnetons per cell
ΔE_f (raw) = -1.8656 eV/atom
Crystal system = trigonal
Total energy = -36.22 eV/atom

```
Ba2CaI6
1.0
13.057 0.000 0.000
-6.528 11.307 0.000
0.000 0.000 7.964
Ba Ca I
6 3 18
direct
0.000 0.411 0.000
0.000 0.731 0.500
0.269 0.269 0.500
0.411 0.000 0.000
0.589 0.589 0.000
0.731 0.000 0.500
0.000 0.000 0.000
0.333 0.667 0.595
0.667 0.333 0.405
0.032 0.201 0.246
0.132 0.582 0.338
0.169 0.968 0.246
0.178 0.720 0.836
0.201 0.032 0.754
0.280 0.457 0.836
0.418 0.550 0.338
0.450 0.868 0.338
0.457 0.280 0.164
0.543 0.822 0.836
0.550 0.418 0.662
0.582 0.132 0.662
0.720 0.178 0.164
0.799 0.831 0.246
0.822 0.543 0.164
0.831 0.799 0.754
0.868 0.450 0.662
0.968 0.169 0.754
```


# NiPbBr3

A crystal of NiPbBr3 relaxed with PBEsol (meta-GGA SCAN, Alexandria).

Calculated values
Space group = Pm-3m (221)
Magnetization = 1.077 Bohr magnetons per cell
ΔE_f (raw) = -0.3887 eV/atom
Crystal system = cubic
Total energy = -30.46 eV/atom

```
NiPbBr3
1.0
4.881 0.000 0.000
0.000 4.881 0.000
0.000 0.000 4.881
Ni Pb Br
1 1 3
direct
0.000 0.000 0.000
0.500 0.500 0.500
0.000 0.000 0.500
0.000 0.500 0.000
0.500 0.000 0.000
```


# Si3SbAu

A crystal of Si3SbAu relaxed with PBEsol (meta-GGA SCAN, Alexandria).

Calculated values
Space group = Pm-3m (221)
Magnetization = 0.000 Bohr magnetons per cell
ΔE_f (raw) = 0.8911 eV/atom
Crystal system = cubic
Total energy = -26.40 eV/atom

```
Si3SbAu
1.0
4.806 0.000 0.000
0.000 4.806 0.000
0.000 0.000 4.806
Si Sb Au
3 1 1
direct
0.000 0.000 0.500
0.000 0.500 0.000
0.500 0.000 0.000
0.500 0.500 0.500
0.000 0.000 0.000
```


# SmHoZn2

A crystal of SmHoZn2 relaxed with PBEsol (meta-GGA SCAN, Alexandria).

Calculated values
Space group = Fm-3m (225)
Magnetization = 0.013 Bohr magnetons per cell
Crystal system = cubic
Total energy = -30.51 eV/atom

```
SmHoZn2
1.0
7.052 0.000 0.000
0.000 7.052 0.000
0.000 0.000 7.052
Sm Ho Zn
4 4 8
direct
0.000 0.000 0.000
0.000 0.500 0.500
0.500 0.000 0.500
0.500 0.500 0.000
0.000 0.000 0.500
0.000 0.500 0.000
0.500 0.000 0.000
0.500 0.500 0.500
0.250 0.250 0.250
0.250 0.250 0.750
0.250 0.750 0.250
0.250 0.750 0.750
0.750 0.250 0.250
0.750 0.250 0.750
0.750 0.750 0.250
0.750 0.750 0.750
```


# Al2WSeI

A crystal of Al2WSeI relaxed with PBEsol (meta-GGA SCAN, Alexandria).

Calculated values
Space group = P4/mmm (123)
Magnetization = 0.930 Bohr magnetons per cell
ΔE_f (raw) = 0.4233 eV/atom
Crystal system = tetragonal
Total energy = -27.98 eV/atom

```
Al2WSeI
1.0
5.183 0.000 0.000
0.000 5.183 0.000
0.000 0.000 4.643
Al W Se I
2 1 1 1
direct
0.000 0.500 0.000
0.500 0.000 0.000
0.000 0.000 0.000
0.000 0.000 0.500
0.500 0.500 0.500
```


# SrLa2Sb

A crystal of SrLa2Sb relaxed with PBEsol (meta-GGA SCAN, Alexandria).

Calculated values
Space group = Cm (8)
Magnetization = 0.000 Bohr magnetons per cell
ΔE_f (raw) = -0.5003 eV/atom
Crystal system = monoclinic
Total energy = -36.94 eV/atom

```
SrLa2Sb
1.0
12.431 0.000 0.000
0.000 4.190 0.000
-2.149 0.000 5.059
Sr La Sb
2 4 2
direct
0.000 0.000 0.000
0.500 0.500 0.000
0.073 0.500 0.564
0.282 0.500 0.380
0.573 0.000 0.564
0.782 0.000 0.380
0.277 0.000 0.897
0.777 0.500 0.897
```


# ReTc2Hg

A crystal of ReTc2Hg relaxed with PBEsol (meta-GGA SCAN, Alexandria).

Calculated values
Space group = Cmmm (65)
Magnetization = 0.000 Bohr magnetons per cell
Crystal system = orthorhombic
Total energy = -51.79 eV/atom

```
ReTc2Hg
1.0
5.556 0.000 0.000
0.000 7.747 0.000
0.000 0.000 2.823
Re Tc Hg
2 4 2
direct
0.000 0.000 0.000
0.500 0.500 0.000
0.250 0.250 0.500
0.250 0.750 0.500
0.750 0.250 0.500
0.750 0.750 0.500
0.000 0.500 0.000
0.500 0.000 0.000
```


# TlCuRe2

A crystal of TlCuRe2 relaxed with PBEsol (meta-GGA SCAN, Alexandria).

Calculated values
Excess energy over the best structure of this formula in the dataset = 0.0 meV/atom
Space group = Cmm2 (35)
Magnetization = 0.000 Bohr magnetons per cell
Crystal system = orthorhombic
Total energy = -56.77 eV/atom

```
TlCuRe2
1.0
2.961 0.000 0.000
0.000 4.717 0.000
0.000 0.000 9.270
Tl Cu Re
2 2 4
direct
0.000 0.000 0.000
0.500 0.500 0.000
0.000 0.500 0.259
0.500 0.000 0.259
0.000 0.000 0.489
0.000 0.500 0.716
0.500 0.000 0.716
0.500 0.500 0.489
```


# BeSb2As

A crystal of BeSb2As relaxed with PBEsol (meta-GGA SCAN, Alexandria).

Calculated values
Excess energy over the best structure of this formula in the dataset = 492.2 meV/atom
Space group = I-4m2 (119)
Magnetization = 0.001 Bohr magnetons per cell
ΔE_f (raw) = 0.6235 eV/atom
Crystal system = tetragonal
Total energy = -24.14 eV/atom

```
BeSb2As
1.0
3.942 0.000 0.000
0.000 3.942 0.000
0.000 0.000 10.861
Be Sb As
2 4 2
direct
0.000 0.000 0.000
0.500 0.500 0.500
0.000 0.000 0.500
0.000 0.500 0.250
0.500 0.000 0.750
0.500 0.500 0.000
0.000 0.500 0.750
0.500 0.000 0.250
```


# Zr6Sb2Pt

A crystal of Zr6Sb2Pt relaxed with PBEsol (meta-GGA SCAN, Alexandria).

Calculated values
Space group = P-62m (189)
Magnetization = 0.000 Bohr magnetons per cell
ΔE_f (raw) = -0.8846 eV/atom
Crystal system = hexagonal
Total energy = -37.43 eV/atom

```
Zr6Sb2Pt
1.0
7.782 0.000 0.000
-3.891 6.739 0.000
0.000 0.000 3.658
Zr Sb Pt
6 2 1
direct
0.000 0.405 0.000
0.000 0.748 0.500
0.252 0.252 0.500
0.405 0.000 0.000
0.595 0.595 0.000
0.748 0.000 0.500
0.333 0.667 0.500
0.667 0.333 0.500
0.000 0.000 0.000
```


# Y3HgC

A crystal of Y3HgC relaxed with PBEsol (meta-GGA SCAN, Alexandria).

Calculated values
Excess energy over the best structure of this formula in the dataset = 48.2 meV/atom
Space group = Pm-3m (221)
Magnetization = 0.269 Bohr magnetons per cell
Crystal system = cubic
Total energy = -32.96 eV/atom

```
Y3HgC
1.0
4.839 0.000 0.000
0.000 4.839 0.000
0.000 0.000 4.839
Y Hg C
3 1 1
direct
0.000 0.000 0.500
0.000 0.500 0.000
0.500 0.000 0.000
0.500 0.500 0.500
0.000 0.000 0.000
```


# Er10Ru10C19

A crystal of Er10Ru10C19 relaxed with PBEsol (meta-GGA SCAN, Alexandria).

Calculated values
Space group = Cm (8)
Magnetization = 0.000 Bohr magnetons per cell
Crystal system = monoclinic
Total energy = -27.12 eV/atom

```
Er10Ru10C19
1.0
7.252 -3.569 0.000
7.252 3.569 0.000
-3.630 0.000 9.198
Er Ru C
10 10 19
direct
0.000 0.000 0.000
0.067 0.067 0.402
0.180 0.180 0.850
0.308 0.308 0.235
0.321 0.321 0.626
0.503 0.503 0.016
0.572 0.572 0.373
0.698 0.698 0.879
0.813 0.813 0.253
0.845 0.845 0.626
0.106 0.597 0.032
0.228 0.651 0.479
0.302 0.723 0.773
0.385 0.910 0.220
0.431 0.860 0.626
0.597 0.106 0.032
0.651 0.228 0.479
0.723 0.302 0.773
0.860 0.431 0.626
0.910 0.385 0.220
0.037 0.536 0.791
0.038 0.532 0.419
0.137 0.929 0.626
0.142 0.636 0.833
0.188 0.687 0.268
0.237 0.762 0.191
0.369 0.864 0.984
0.454 0.955 0.461
0.465 0.969 0.061
0.532 0.038 0.419
0.535 0.535 0.626
0.536 0.037 0.791
0.636 0.142 0.833
0.687 0.188 0.268
0.762 0.237 0.191
0.864 0.369 0.984
0.929 0.137 0.626
0.955 0.454 0.461
0.969 0.465 0.061
```


# TiZn

A crystal of TiZn relaxed with PBEsol (meta-GGA SCAN, Alexandria).

Calculated values
Space group = Pm-3m (221)
Magnetization = 0.000 Bohr magnetons per cell
Crystal system = cubic
Total energy = -15.06 eV/atom

```
TiZn
1.0
3.097 0.000 0.000
0.000 3.097 0.000
0.000 0.000 3.097
Ti Zn
1 1
direct
0.000 0.000 0.000
0.500 0.500 0.500
```


# Na3SbH

A crystal of Na3SbH relaxed with PBEsol (meta-GGA SCAN, Alexandria).

Calculated values
Space group = Pm-3m (221)
Magnetization = 1.001 Bohr magnetons per cell
Crystal system = cubic
Total energy = -10.99 eV/atom

```
Na3SbH
1.0
4.722 0.000 0.000
0.000 4.722 0.000
0.000 0.000 4.722
Na Sb H
3 1 1
direct
0.000 0.000 0.500
0.000 0.500 0.000
0.500 0.000 0.000
0.500 0.500 0.500
0.000 0.000 0.000
```


# KYSi4

A crystal of KYSi4 relaxed with PBEsol (meta-GGA SCAN, Alexandria).

Calculated values
Space group = F-43m (216)
Magnetization = 0.000 Bohr magnetons per cell
ΔE_f (raw) = 0.0222 eV/atom
Crystal system = cubic
Total energy = -12.68 eV/atom

```
KYSi4
1.0
0.000 3.791 3.791
3.791 0.000 3.791
3.791 3.791 0.000
K Y Si
1 1 4
direct
0.000 0.000 0.000
0.750 0.750 0.750
0.376 0.376 0.376
0.376 0.376 0.872
0.376 0.872 0.376
0.872 0.376 0.376
```


# SrSiAg

A crystal of SrSiAg relaxed with PBEsol (meta-GGA SCAN, Alexandria).

Calculated values
Space group = P-6m2 (187)
Magnetization = 0.000 Bohr magnetons per cell
ΔE_f (raw) = -0.3511 eV/atom
Crystal system = hexagonal
Total energy = -21.57 eV/atom

```
SrSiAg
1.0
4.362 0.000 0.000
-2.181 3.777 0.000
0.000 0.000 4.391
Sr Si Ag
1 1 1
direct
0.000 0.000 0.000
0.667 0.333 0.500
0.333 0.667 0.500
```


# Ba2MnRe

A crystal of Ba2MnRe relaxed with PBEsol (meta-GGA SCAN, Alexandria).

Calculated values
Excess energy over the best structure of this formula in the dataset = 498.4 meV/atom
Space group = Fm-3m (225)
Magnetization = 25.001 Bohr magnetons per cell
Crystal system = cubic
Total energy = -40.96 eV/atom

```
Ba2MnRe
1.0
7.616 0.000 0.000
0.000 7.616 0.000
0.000 0.000 7.616
Ba Mn Re
8 4 4
direct
0.250 0.250 0.250
0.250 0.250 0.750
0.250 0.750 0.250
0.250 0.750 0.750
0.750 0.250 0.250
0.750 0.250 0.750
0.750 0.750 0.250
0.750 0.750 0.750
0.000 0.000 0.000
0.000 0.500 0.500
0.500 0.000 0.500
0.500 0.500 0.000
0.000 0.000 0.500
0.000 0.500 0.000
0.500 0.000 0.000
0.500 0.500 0.500
```


# Y2PbBr

A crystal of Y2PbBr relaxed with PBEsol (meta-GGA SCAN, Alexandria).

Calculated values
Excess energy over the best structure of this formula in the dataset = 0.0 meV/atom
Space group = Fm-3m (225)
Magnetization = 3.441 Bohr magnetons per cell
ΔE_f (raw) = -0.9113 eV/atom
Crystal system = cubic
Total energy = -38.64 eV/atom

```
Y2PbBr
1.0
7.441 0.000 0.000
0.000 7.441 0.000
0.000 0.000 7.441
Y Pb Br
8 4 4
direct
0.250 0.250 0.250
0.250 0.250 0.750
0.250 0.750 0.250
0.250 0.750 0.750
0.750 0.250 0.250
0.750 0.250 0.750
0.750 0.750 0.250
0.750 0.750 0.750
0.000 0.000 0.000
0.000 0.500 0.500
0.500 0.000 0.500
0.500 0.500 0.000
0.000 0.000 0.500
0.000 0.500 0.000
0.500 0.000 0.000
0.500 0.500 0.500
```


# CoAgBr2

A crystal of CoAgBr2 relaxed with PBEsol (meta-GGA SCAN, Alexandria).

Calculated values
Excess energy over the best structure of this formula in the dataset = 260.7 meV/atom
Space group = Imm2 (44)
Magnetization = 4.089 Bohr magnetons per cell
ΔE_f (raw) = 0.0821 eV/atom
Crystal system = orthorhombic
Total energy = -21.82 eV/atom

```
CoAgBr2
1.0
3.256 0.000 0.000
0.000 3.941 0.000
0.000 0.000 12.250
Co Ag Br
2 2 4
direct
0.000 0.000 0.000
0.500 0.500 0.500
0.000 0.500 0.713
0.500 0.000 0.213
0.000 0.000 0.553
0.000 0.500 0.334
0.500 0.000 0.834
0.500 0.500 0.053
```